This record from Alexandria via LeMat-Bulk describes crystalline Dy4Y3Ni2 at its relaxed geometry. The functional is PBE.

Summary:
Formation energy ... -126 kJ/mol of formula units
Calculated total energy ... -5.6300 eV per atom
SG ... C2/m (12)
Crystal system ... monoclinic

The structure in POSCAR format:
```
Dy4Y3Ni2
1.0
8.039 -1.817 0.000
8.039 1.817 0.000
-3.821 0.000 8.365
Dy Y Ni
4 3 2
Cartesian
0.774 0.000 1.558
3.378 0.000 3.726
8.879 0.000 4.639
11.483 0.000 6.807
-1.910 0.000 4.183
5.324 0.000 0.974
6.933 0.000 7.391
1.184 0.000 6.614
11.072 0.000 1.752
```